# CrInNiRu GGA-PBE relaxed
data_CrInNiRu
_space_group_name_H-M_alt 'P 1'
_space_group_IT_number 1
_cell_length_a 6.167
_cell_length_b 6.167
_cell_length_c 6.167
_cell_angle_alpha 90.00
_cell_angle_beta 90.00
_cell_angle_gamma 90.00
loop_
_space_group_symop_operation_xyz
'x,y,z'
loop_
_atom_site_label
_atom_site_type_symbol
_atom_site_fract_x
_atom_site_fract_y
_atom_site_fract_z
Cr1 Cr 0.000 0.000 0.000
Cr2 Cr 0.000 0.500 0.500
Cr3 Cr 0.500 0.000 0.500
Cr4 Cr 0.500 0.500 0.000
In1 In 0.000 0.000 0.500
In2 In 0.000 0.500 0.000
In3 In 0.500 0.000 0.000
In4 In 0.500 0.500 0.500
Ni1 Ni 0.250 0.250 0.750
Ni2 Ni 0.250 0.750 0.250
Ni3 Ni 0.750 0.250 0.250
Ni4 Ni 0.750 0.750 0.750
Ru1 Ru 0.250 0.250 0.250
Ru2 Ru 0.250 0.750 0.750
Ru3 Ru 0.750 0.250 0.750
Ru4 Ru 0.750 0.750 0.250
# * energy relative to the elements: 12.0 kJ/mol of atoms
# * symmetry: F-43m, No. 216

# NaFe2BiP GGA-PBE relaxed
data_NaFe2BiP
_space_group_name_H-M_alt 'P 1'
_space_group_IT_number 1
_cell_length_a 4.366
_cell_length_b 4.366
_cell_length_c 5.646
_cell_angle_alpha 90.00
_cell_angle_beta 90.00
_cell_angle_gamma 90.00
loop_
_space_group_symop_operation_xyz
'x,y,z'
loop_
_atom_site_label
_atom_site_type_symbol
_atom_site_fract_x
_atom_site_fract_y
_atom_site_fract_z
Na1 Na 0.000 0.000 0.000
Fe1 Fe 0.000 0.500 0.500
Fe2 Fe 0.500 0.000 0.500
Bi1 Bi 0.500 0.500 0.000
P1 P 0.500 0.500 0.500
# * energy relative to the elements: 37.3 kJ/mol of atoms
# * symmetry: P4/mmm, No. 123

# Li2SF2 GGA-PBE relaxed
data_Li2SF2
_space_group_name_H-M_alt 'P 1'
_space_group_IT_number 1
_cell_length_a 3.770
_cell_length_b 3.770
_cell_length_c 11.802
_cell_angle_alpha 90.00
_cell_angle_beta 90.00
_cell_angle_gamma 90.00
loop_
_space_group_symop_operation_xyz
'x,y,z'
loop_
_atom_site_label
_atom_site_type_symbol
_atom_site_fract_x
_atom_site_fract_y
_atom_site_fract_z
Li1 Li 0.000 0.000 0.228
Li2 Li 0.000 0.000 0.772
Li3 Li 0.500 0.500 0.272
Li4 Li 0.500 0.500 0.728
S1 S 0.000 0.000 0.500
S2 S 0.500 0.500 0.000
F1 F 0.000 0.500 0.250
F2 F 0.000 0.500 0.750
F3 F 0.500 0.000 0.250
F4 F 0.500 0.000 0.750
# * E_form (uncorrected): -1.71 eV/atom
# * symmetry: I4/mmm, No. 139

# Sm2TlBr GGA-PBE relaxed
data_Sm2TlBr
_space_group_name_H-M_alt 'P 1'
_space_group_IT_number 1
_cell_length_a 3.763
_cell_length_b 3.763
_cell_length_c 28.489
_cell_angle_alpha 90.00
_cell_angle_beta 90.00
_cell_angle_gamma 120.00
loop_
_space_group_symop_operation_xyz
'x,y,z'
loop_
_atom_site_label
_atom_site_type_symbol
_atom_site_fract_x
_atom_site_fract_y
_atom_site_fract_z
Sm1 Sm 0.000 0.000 0.000
Sm2 Sm 0.000 0.000 0.174
Sm3 Sm 0.333 0.667 0.667
Sm4 Sm 0.333 0.667 0.840
Sm5 Sm 0.667 0.333 0.333
Sm6 Sm 0.667 0.333 0.507
Tl1 Tl 0.000 0.000 0.420
Tl2 Tl 0.333 0.667 0.087
Tl3 Tl 0.667 0.333 0.754
Br1 Br 0.000 0.000 0.587
Br2 Br 0.333 0.667 0.254
Br3 Br 0.667 0.333 0.920
# * E_form (uncorrected): -0.65 eV/atom
# * symmetry: R3m, No. 160

# Pm2FeAu GGA-PBE relaxed
data_Pm2FeAu
_space_group_name_H-M_alt 'P 1'
_space_group_IT_number 1
_cell_length_a 3.574
_cell_length_b 3.574
_cell_length_c 7.290
_cell_angle_alpha 90.00
_cell_angle_beta 90.00
_cell_angle_gamma 90.00
loop_
_space_group_symop_operation_xyz
'x,y,z'
loop_
_atom_site_label
_atom_site_type_symbol
_atom_site_fract_x
_atom_site_fract_y
_atom_site_fract_z
Pm1 Pm 0.000 0.000 0.235
Pm2 Pm 0.000 0.000 0.765
Fe1 Fe 0.500 0.500 0.000
Au1 Au 0.500 0.500 0.500
# * energy relative to the elements: -25.0 kJ/mol of atoms
# * symmetry: P4/mmm, No. 123

# Sm3ZnRh8 GGA-PBE relaxed
data_Sm3ZnRh8
_space_group_name_H-M_alt 'P 1'
_space_group_IT_number 1
_cell_length_a 9.242
_cell_length_b 9.242
_cell_length_c 9.242
_cell_angle_alpha 33.48
_cell_angle_beta 33.48
_cell_angle_gamma 33.48
loop_
_space_group_symop_operation_xyz
'x,y,z'
loop_
_atom_site_label
_atom_site_type_symbol
_atom_site_fract_x
_atom_site_fract_y
_atom_site_fract_z
Sm1 Sm 0.000 0.000 0.000
Sm2 Sm 0.129 0.129 0.129
Sm3 Sm 0.512 0.512 0.512
Zn1 Zn 0.637 0.637 0.637
Rh1 Rh 0.065 0.566 0.566
Rh2 Rh 0.068 0.068 0.568
Rh3 Rh 0.068 0.568 0.068
Rh4 Rh 0.317 0.317 0.317
Rh5 Rh 0.566 0.065 0.566
Rh6 Rh 0.566 0.566 0.065
Rh7 Rh 0.568 0.068 0.068
Rh8 Rh 0.817 0.817 0.817
# * energy relative to the elements: -51.5 kJ/mol of atoms
# * symmetry: R3m, No. 160

# NaMg2InC GGA-PBE relaxed
data_NaMg2InC
_space_group_name_H-M_alt 'P 1'
_space_group_IT_number 1
_cell_length_a 4.428
_cell_length_b 4.428
_cell_length_c 5.238
_cell_angle_alpha 90.00
_cell_angle_beta 90.00
_cell_angle_gamma 90.00
loop_
_space_group_symop_operation_xyz
'x,y,z'
loop_
_atom_site_label
_atom_site_type_symbol
_atom_site_fract_x
_atom_site_fract_y
_atom_site_fract_z
Na1 Na 0.000 0.000 0.000
Mg1 Mg 0.000 0.500 0.500
Mg2 Mg 0.500 0.000 0.500
In1 In 0.500 0.500 0.000
C1 C 0.500 0.500 0.500
# * energy relative to the elements: 40.9 kJ/mol of atoms
# * symmetry: P4/mmm, No. 123

# TbCeCdRu GGA-PBE relaxed
data_TbCeCdRu
_space_group_name_H-M_alt 'P 1'
_space_group_IT_number 1
_cell_length_a 3.361
_cell_length_b 3.361
_cell_length_c 8.369
_cell_angle_alpha 90.00
_cell_angle_beta 90.00
_cell_angle_gamma 90.00
loop_
_space_group_symop_operation_xyz
'x,y,z'
loop_
_atom_site_label
_atom_site_type_symbol
_atom_site_fract_x
_atom_site_fract_y
_atom_site_fract_z
Tb1 Tb 0.000 0.000 0.000
Ce1 Ce 0.000 0.000 0.414
Cd1 Cd 0.500 0.500 0.715
Ru1 Ru 0.500 0.500 0.210
# * energy relative to the elements: -32.1 kJ/mol of atoms
# * symmetry: P4mm, No. 99

# RbBeCoAs2 GGA-PBE relaxed
data_RbBeCoAs2
_space_group_name_H-M_alt 'P 1'
_space_group_IT_number 1
_cell_length_a 5.576
_cell_length_b 5.576
_cell_length_c 5.127
_cell_angle_alpha 90.00
_cell_angle_beta 90.00
_cell_angle_gamma 90.00
loop_
_space_group_symop_operation_xyz
'x,y,z'
loop_
_atom_site_label
_atom_site_type_symbol
_atom_site_fract_x
_atom_site_fract_y
_atom_site_fract_z
Rb1 Rb 0.000 0.000 0.000
Be1 Be 0.000 0.000 0.500
Co1 Co 0.500 0.500 0.500
As1 As 0.000 0.500 0.000
As2 As 0.500 0.000 0.000
# * energy relative to the elements: 234.5 kJ/mol of atoms
# * symmetry: P4/mmm, No. 123

# FeNiIr2 GGA-PBE relaxed
data_FeNiIr2
_space_group_name_H-M_alt 'P 1'
_space_group_IT_number 1
_cell_length_a 5.939
_cell_length_b 5.939
_cell_length_c 5.939
_cell_angle_alpha 90.00
_cell_angle_beta 90.00
_cell_angle_gamma 90.00
loop_
_space_group_symop_operation_xyz
'x,y,z'
loop_
_atom_site_label
_atom_site_type_symbol
_atom_site_fract_x
_atom_site_fract_y
_atom_site_fract_z
Fe1 Fe 0.000 0.000 0.000
Fe2 Fe 0.000 0.500 0.500
Fe3 Fe 0.500 0.000 0.500
Fe4 Fe 0.500 0.500 0.000
Ni1 Ni 0.000 0.000 0.500
Ni2 Ni 0.000 0.500 0.000
Ni3 Ni 0.500 0.000 0.000
Ni4 Ni 0.500 0.500 0.500
Ir1 Ir 0.250 0.250 0.250
Ir2 Ir 0.250 0.250 0.750
Ir3 Ir 0.250 0.750 0.250
Ir4 Ir 0.250 0.750 0.750
Ir5 Ir 0.750 0.250 0.250
Ir6 Ir 0.750 0.250 0.750
Ir7 Ir 0.750 0.750 0.250
Ir8 Ir 0.750 0.750 0.750
# * energy relative to the elements: 5.6 kJ/mol of atoms
# * symmetry: Fm-3m, No. 225

# PuFe4Pt GGA-PBE relaxed
data_PuFe4Pt
_space_group_name_H-M_alt 'P 1'
_space_group_IT_number 1
_cell_length_a 4.090
_cell_length_b 5.190
_cell_length_c 8.481
_cell_angle_alpha 90.00
_cell_angle_beta 103.99
_cell_angle_gamma 90.00
loop_
_space_group_symop_operation_xyz
'x,y,z'
loop_
_atom_site_label
_atom_site_type_symbol
_atom_site_fract_x
_atom_site_fract_y
_atom_site_fract_z
Pu1 Pu 0.126 0.250 0.251
Pu2 Pu 0.874 0.750 0.749
Fe1 Fe 0.055 0.750 0.109
Fe2 Fe 0.353 0.016 0.707
Fe3 Fe 0.353 0.484 0.707
Fe4 Fe 0.500 0.000 0.000
Fe5 Fe 0.500 0.500 0.000
Fe6 Fe 0.647 0.516 0.293
Fe7 Fe 0.647 0.984 0.293
Fe8 Fe 0.945 0.250 0.891
Pt1 Pt 0.222 0.750 0.442
Pt2 Pt 0.778 0.250 0.558
# * energy relative to the elements: -0.9 kJ/mol of atoms
# * symmetry: P2_1/m, No. 11

# ScTiGaIr GGA-PBE relaxed
data_ScTiGaIr
_space_group_name_H-M_alt 'P 1'
_space_group_IT_number 1
_cell_length_a 3.232
_cell_length_b 3.232
_cell_length_c 6.438
_cell_angle_alpha 90.00
_cell_angle_beta 90.00
_cell_angle_gamma 90.00
loop_
_space_group_symop_operation_xyz
'x,y,z'
loop_
_atom_site_label
_atom_site_type_symbol
_atom_site_fract_x
_atom_site_fract_y
_atom_site_fract_z
Sc1 Sc 0.000 0.000 0.000
Ti1 Ti 0.000 0.000 0.481
Ga1 Ga 0.500 0.500 0.719
Ir1 Ir 0.500 0.500 0.271
# * energy relative to the elements: -68.3 kJ/mol of atoms
# * symmetry: P4mm, No. 99

Sequential E output: -6.7307, -5.1207, -4.0489, -4.0181, -5.5692, -6.7204, -2.8707, -5.5214, -1.7898, -7.9335, -9.0468, -7.2363 eV/atom